(1)
La2InP: optimized geometry, GGA-PBEsol.

Results
- ΔE_f (eV per atom) = -0.9374
- uncorrected energy (eV for the cell shown) = -23.217
- total moment (Bohr magnetons per cell) = 0.0

Cell: 4.1148 4.1148 8.4677 Å, 75.94 75.94 60.00°
Element x y z (fractional)
P: 0.0000 0.0000 0.0000
La: 0.2639 0.2639 0.2083
La: 0.7361 0.7361 0.7917
In: 0.5000 0.5000 0.5000

=====

(2)
LiNi2Cl: optimized geometry, GGA-PBEsol.

Results
- distance to the lowest polymorph of the same formula (meV/atom) = 98
- formation energy without anion corrections (kJ per mole of atoms) = 11
- uncorrected energy (eV for the cell shown) = -15.825
- total moment (Bohr magnetons per cell) = 0.0

Cell: 2.9485 4.0648 4.9492 Å, 114.25 107.33 90.00°
Element x y z (fractional)
Cl: 0.4558 0.4558 0.9116
Li: 0.2308 0.7308 0.4616
Ni: 0.0483 0.0483 0.0966
Ni: 0.7651 0.2651 0.5301

=====

(3)
RhCBr3: optimized geometry, GGA-PBEsol.

Results
- formation energy without anion corrections (kJ per mole of atoms) = 141
- uncorrected energy (eV for the cell shown) = -16.084
- total moment (Bohr magnetons per cell) = 0.7

Cell: 4.9227 4.9227 4.9227 Å, 90.00 90.00 90.00°
Site moments in Bohr magnetons follow the coordinates.
Element x y z (fractional)
C: 0.5000 0.5000 0.5000  0.80
Rh: 0.0000 0.0000 0.0000  -0.45
Br: 0.0000 0.5000 0.0000  -0.11
Br: 0.0000 0.0000 0.5000  -0.11
Br: 0.5000 0.0000 0.0000  -0.11

=====

(4)
YAl3Ni: optimized geometry, GGA-PBEsol.

Results
- ΔE_f (eV per atom) = -0.3309
- distance to the lowest polymorph of the same formula (meV/atom) = 281
- uncorrected energy (eV for the cell shown) = -26.909
- total moment (Bohr magnetons per cell) = 0.0

Cell: 4.4941 4.4941 4.4941 Å, 90.00 90.00 90.00°
Element x y z (fractional)
Y: 0.5000 0.5000 0.5000
Ni: 0.0000 0.0000 0.0000
Al: 0.0000 0.5000 0.0000
Al: 0.0000 0.0000 0.5000
Al: 0.5000 0.0000 0.0000

=====

(5)
InIrRu2: optimized geometry, GGA-PBEsol.

Results
- ΔE_f (eV per atom) = 0.3062
- uncorrected energy (eV for the cell shown) = -31.926
- total moment (Bohr magnetons per cell) = 0.0

Cell: 3.8864 3.9205 3.9205 Å, 90.00 90.00 90.00°
Element x y z (fractional)
In: 0.5000 0.5000 0.5000
Ir: 0.5000 0.0000 0.0000
Ru: 0.0000 0.0000 0.5000
Ru: 0.0000 0.5000 0.0000

=====

(6)
YZnO2F: optimized geometry, GGA-PBEsol.

Results
- formation energy without anion corrections (kJ per mole of atoms) = -180
- uncorrected energy (eV for the cell shown) = -30.162
- total moment (Bohr magnetons per cell) = 0.1

Cell: 4.1740 4.3493 4.3493 Å, 90.00 90.00 90.00°
Site moments in Bohr magnetons follow the coordinates.
Element x y z (fractional)
Y: 0.0000 0.0000 0.0000  0.01
Zn: 0.5000 0.5000 0.5000  -0.01
O: 0.0000 0.0000 0.5000  0.07
O: 0.0000 0.5000 0.0000  0.07
F: 0.5000 0.0000 0.0000  0.00

=====

Question: uncorrected energy of number 2 (LiNi2Cl)?
Answer: -15.825 eV for the cell shown